Record 1
Material: La2Pr4ErTm2
Method: DFT, GGA-PBE
State: optimized geometry

The space group is C2/m (No. 12) and the conventional cell measures 15.577, 5.194 and 8.104 Å, with angles of 90.00, 108.75 and 90.00 degrees. The asymmetric unit holds La at (0.111, 0.000, 0.172), Pr at (0.055, 0.500, 0.829), Pr at (0.220, 0.000, 0.828), Er at (0.000, 0.000, 0.500) and Tm at (0.167, 0.500, 0.500).

Record 2
Material: La5Pr2ErTm
Method: DFT, GGA-PBE
State: optimized geometry

The space group is I4/mcm (No. 140) and the conventional cell measures 8.577, 8.577 and 17.705 Å, with angles of 90.00, 90.00 and 90.00 degrees. The asymmetric unit holds La at (0.000, 0.000, 0.000), La at (0.224, 0.276, 0.144), Pr at (0.126, 0.374, 0.500), Er at (0.000, 0.000, 0.250) and Tm at (0.000, 0.500, 0.250).

Record 3
Material: LaPr4ErTm2
Method: DFT, GGA-PBE
State: optimized geometry

The space group is C2/m (No. 12) and the conventional cell measures 11.445, 5.166 and 10.336 Å, with angles of 90.00, 116.94 and 90.00 degrees. The asymmetric unit holds La at (0.000, 0.000, 0.000), Pr at (0.249, 0.000, 0.873), Pr at (0.249, 0.500, 0.624), Er at (0.000, 0.000, 0.500) and Tm at (0.000, 0.500, 0.254).

Record 4
Material: La3Pr6Er2Tm
Method: DFT, GGA-PBE
State: optimized geometry

The space group is C2/m (No. 12) and the conventional cell measures 6.368, 11.041 and 12.101 Å, with angles of 90.00, 100.12 and 90.00 degrees. The asymmetric unit holds La at (0.000, 0.000, 0.000), La at (0.000, 0.333, 0.000), Pr at (0.248, 0.000, 0.742), Pr at (0.248, 0.333, 0.742), Er at (0.000, 0.167, 0.500) and Tm at (0.000, 0.500, 0.500).

Record 5
Material: La3PrErTm
Method: DFT, GGA-PBE
State: optimized geometry

The space group is P2_1/m (No. 11) and the conventional cell measures 8.084, 5.226 and 10.429 Å, with angles of 90.00, 108.89 and 90.00 degrees. The asymmetric unit holds La at (0.171, 0.250, 0.042), La at (0.172, 0.250, 0.543), La at (0.174, 0.750, 0.293), Pr at (0.171, 0.750, 0.793), Er at (0.500, 0.250, 0.876) and Tm at (0.499, 0.750, 0.626).

Record 6
Material: La3PrEr6Tm2
Method: DFT, GGA-PBE
State: optimized geometry

The space group is C2/m (No. 12) and the conventional cell measures 6.207, 10.749 and 11.811 Å, with angles of 90.00, 100.09 and 90.00 degrees. The asymmetric unit holds La at (0.000, 0.000, 0.000), La at (0.000, 0.333, 0.000), Pr at (0.000, 0.500, 0.500), Er at (0.247, 0.000, 0.745), Er at (0.249, 0.333, 0.745) and Tm at (0.000, 0.167, 0.500).

Record 7
Material: La2Pr4Er2Tm
Method: DFT, GGA-PBE
State: optimized geometry

The space group is C2/m (No. 12) and the conventional cell measures 15.574, 5.195 and 8.111 Å, with angles of 90.00, 108.69 and 90.00 degrees. The asymmetric unit holds La at (0.111, 0.000, 0.172), Pr at (0.056, 0.500, 0.830), Pr at (0.220, 0.000, 0.828), Er at (0.166, 0.500, 0.500) and Tm at (0.000, 0.000, 0.500).

Record 8
Material: La2Pr2ErTm
Method: DFT, GGA-PBE
State: optimized geometry

The space group is Pmma (No. 51) and the conventional cell measures 7.128, 5.763 and 9.999 Å, with angles of 90.00, 90.00 and 90.00 degrees. The asymmetric unit holds La at (0.000, 0.000, 0.000), La at (0.250, 0.500, 0.178), Pr at (0.250, 0.000, 0.332), Pr at (0.250, 0.500, 0.834), Er at (0.000, 0.500, 0.500) and Tm at (0.250, 0.000, 0.656).

Record 9
Material: LaPr3ErTm
Method: DFT, GGA-PBE
State: optimized geometry

The space group is P2_1/m (No. 11) and the conventional cell measures 8.111, 5.195 and 10.365 Å, with angles of 90.00, 108.70 and 90.00 degrees. The asymmetric unit holds La at (0.173, 0.250, 0.293), Pr at (0.171, 0.250, 0.793), Pr at (0.172, 0.750, 0.042), Pr at (0.172, 0.750, 0.544), Er at (0.500, 0.250, 0.626) and Tm at (0.499, 0.750, 0.876).

Record 10
Material: La6PrErTm2
Method: DFT, GGA-PBE
State: optimized geometry

The space group is C2/m (No. 12) and the conventional cell measures 11.351, 7.251 and 8.921 Å, with angles of 90.00, 103.72 and 90.00 degrees. The asymmetric unit holds La at (0.139, 0.000, 0.440), La at (0.177, 0.280, 0.800), Pr at (0.000, 0.000, 0.000), Er at (0.000, 0.500, 0.500) and Tm at (0.091, 0.500, 0.166).

Record 11
Material: La2PrErTm
Method: DFT, GGA-PBE
State: optimized geometry

The space group is Cmcm (No. 63) and the conventional cell measures 11.132, 9.507 and 6.872 Å, with angles of 90.00, 90.00 and 90.00 degrees. The asymmetric unit holds La at (0.249, 0.000, 0.000), Pr at (0.000, 0.397, 0.250), Er at (0.000, 0.086, 0.250) and Tm at (0.000, 0.248, 0.750).

Record 12
Material: La2PrEr4Tm
Method: DFT, GGA-PBE
State: optimized geometry

The space group is C2/m (No. 12) and the conventional cell measures 12.425, 7.191 and 12.367 Å, with angles of 90.00, 109.47 and 90.00 degrees. The asymmetric unit holds La at (0.000, 0.000, 0.000), La at (0.000, 0.000, 0.500), La at (0.250, 0.250, 0.000), Pr at (0.000, 0.500, 0.000), Pr at (0.000, 0.500, 0.500), Er at (0.001, 0.250, 0.253), Er at (0.250, 0.000, 0.254), Er at (0.250, 0.000, 0.747) and Tm at (0.250, 0.250, 0.500).

Record 13
Material: La2Pr6ErTm3
Method: DFT, GGA-PBE
State: optimized geometry

The space group is C2/m (No. 12) and the conventional cell measures 6.334, 10.977 and 12.000 Å, with angles of 90.00, 100.14 and 90.00 degrees. The asymmetric unit holds La at (0.000, 0.167, 0.000), Pr at (0.247, 0.500, 0.744), Pr at (0.249, 0.166, 0.744), Er at (0.000, 0.500, 0.000), Tm at (0.000, 0.000, 0.500) and Tm at (0.000, 0.334, 0.500).

Record 14
Material: La6PrEr2Tm
Method: DFT, GGA-PBE
State: optimized geometry

The space group is C2/c (No. 15) and the conventional cell measures 9.410, 15.382 and 9.819 Å, with angles of 90.00, 98.11 and 90.00 degrees. The asymmetric unit holds La at (0.067, 0.176, 0.447), La at (0.095, 0.393, 0.619), La at (0.218, 0.221, 0.808), Pr at (0.000, 0.026, 0.750), Er at (0.247, 0.047, 0.048) and Tm at (0.000, 0.412, 0.250).

Record 15
Material: La2Pr6Er3Tm
Method: DFT, GGA-PBE
State: optimized geometry

The space group is C2/m (No. 12) and the conventional cell measures 6.336, 10.981 and 12.021 Å, with angles of 90.00, 100.14 and 90.00 degrees. The asymmetric unit holds La at (0.000, 0.167, 0.000), Pr at (0.247, 0.500, 0.745), Pr at (0.249, 0.166, 0.745), Er at (0.000, 0.000, 0.500), Er at (0.000, 0.334, 0.500) and Tm at (0.000, 0.500, 0.000).

Record 16
Material: La2PrErTm5
Method: DFT, GGA-PBE
State: optimized geometry

The space group is I4/mcm (No. 140) and the conventional cell measures 8.672, 8.672 and 15.585 Å, with angles of 90.00, 90.00 and 90.00 degrees. The asymmetric unit holds La at (0.117, 0.383, 0.000), Pr at (0.000, 0.000, 0.250), Er at (0.000, 0.500, 0.250), Tm at (0.000, 0.000, 0.000) and Tm at (0.215, 0.285, 0.359).

Record 17
Material: LaPrEr2Tm2
Method: DFT, GGA-PBE
State: optimized geometry

The space group is Pnnm (No. 58) and the conventional cell measures 6.988, 15.961 and 3.579 Å, with angles of 90.00, 90.00 and 90.00 degrees. The asymmetric unit holds La at (0.000, 0.000, 0.000), Pr at (0.000, 0.500, 0.500), Er at (0.250, 0.159, 0.500) and Tm at (0.250, 0.342, 0.000).

Record 18
Material: La3Pr6ErTm2
Method: DFT, GGA-PBE
State: optimized geometry

The space group is C2/m (No. 12) and the conventional cell measures 6.366, 11.038 and 12.090 Å, with angles of 90.00, 100.12 and 90.00 degrees. The asymmetric unit holds La at (0.000, 0.000, 0.000), La at (0.000, 0.333, 0.000), Pr at (0.247, 0.000, 0.743), Pr at (0.248, 0.333, 0.743), Er at (0.000, 0.500, 0.500) and Tm at (0.000, 0.167, 0.500).

Record 19
Material: LaPr2ErTm5
Method: DFT, GGA-PBE
State: optimized geometry

The space group is I4/mcm (No. 140) and the conventional cell measures 8.713, 8.713 and 15.481 Å, with angles of 90.00, 90.00 and 90.00 degrees. The asymmetric unit holds La at (0.000, 0.000, 0.250), Pr at (0.117, 0.383, 0.000), Er at (0.000, 0.500, 0.250), Tm at (0.000, 0.000, 0.000) and Tm at (0.211, 0.289, 0.362).

| no. | M_tot (μB per cell) | VASP energy (eV/atom) |
| --- | --- | --- |
| 1 | 0.0 | -4.69 |
| 2 | 0.0 | -4.54 |
| 3 | 0.0 | -4.67 |
| 4 | 0.0 | -4.73 |
| 5 | 0.0 | -4.73 |
| 6 | 0.0 | -4.63 |
| 7 | 0.0 | -4.70 |
| 8 | 0.0 | -4.69 |
| 9 | 0.0 | -4.69 |
| 10 | 0.0 | -4.60 |
| 11 | 0.0 | -4.40 |
| 12 | 0.0 | -4.65 |
| 13 | 0.0 | -4.69 |
| 14 | 0.0 | -4.69 |
| 15 | 0.0 | -4.71 |
| 16 | 0.0 | -4.36 |
| 17 | 0.0 | -4.44 |
| 18 | 0.0 | -4.73 |
| 19 | 0.0 | -4.34 |